Compound: ReSi2Mo
Source: Alexandria via LeMat-Bulk
Functional: GGA-PBE
Structure: relaxed

Lattice parameters (Å, degrees): 4.325 4.325 4.963 79.45 79.45 39.00
Sites, in units of the cell vectors:
Mo 0.250 0.250 0.250
Re 0.750 0.750 0.750
Si 0.004 0.004 0.973
Si 0.496 0.496 0.527

## Properties
total magnetic moment = 0.0000 μB per atom
uncorrected energy = -8.58 eV/atom